First-principles (GGA-PBEsol) data for a geometry-optimized Sr2ZnAu structure, as listed in the Alexandria database.

Lattice parameters (Å, degrees): 4.445 4.538 6.176 90.00 111.09 90.00
Positions (direct):
Sr (0.982, 0.500, 0.964)
Sr (0.267, 0.000, 0.534)
Zn (0.564, 0.000, 0.128)
Au (0.687, 0.500, 0.374)

Computed properties:
relative energy among the computed polymorphs = 0 meV per atom
DFT total energy = -2.77 eV/atom
total magnetization = 0.000 μB/cell
N(E_F) = 2.19 states/eV/cell


First-principles (GGA-PBEsol) data for a geometry-optimized SrZnAu2 structure, as listed in the Alexandria database.

Lattice parameters (Å, degrees): 4.492 4.492 5.803 67.23 67.23 60.00
Positions (direct):
Sr (0.500, 0.500, 0.500)
Zn (0.000, 0.000, 0.000)
Au (0.705, 0.705, 0.884)
Au (0.295, 0.295, 0.116)

Computed properties:
DFT total energy = -3.35 eV/atom
total magnetization = 0.000 μB/cell
N(E_F) = 1.42 states/eV/cell


First-principles (GGA-PBEsol) data for a geometry-optimized Sr2ZnAu structure, as listed in the Alexandria database.

Lattice parameters (Å, degrees): 5.355 5.355 5.355 59.99 60.00 60.00
Positions (direct):
Sr (0.250, 0.750, 0.750)
Sr (0.750, 0.250, 0.250)
Zn (0.500, 0.000, 0.000)
Au (0.000, 0.500, 0.500)

Computed properties:
relative energy among the computed polymorphs = 77 meV per atom
DFT total energy = -2.69 eV/atom
total magnetization = 0.000 μB/cell
N(E_F) = 3.28 states/eV/cell


First-principles (GGA-PBEsol) data for a geometry-optimized SrZnAu structure, as listed in the Alexandria database.

Lattice parameters (Å, degrees): 4.188 4.481 4.481 120.00 90.00 90.00
Positions (direct):
Sr (0.000, 0.333, 0.667)
Zn (0.500, 0.667, 0.333)
Au (0.500, 0.000, 0.000)

Computed properties:
DFT total energy = -2.99 eV/atom
total magnetization = 0.000 μB/cell
N(E_F) = 1.38 states/eV/cell